InSbBr: PBEsol geometry, SCAN.

Geometry as CIF:
```
data_InSbBr
_chemical_formula_sum 'In4 Sb4 Br4'
_cell_length_a 4.090
_cell_length_b 5.511
_cell_length_c 14.164
_cell_angle_alpha 90.00
_cell_angle_beta 90.00
_cell_angle_gamma 90.00
_symmetry_space_group_name_H-M 'F m m 2'
_symmetry_Int_Tables_number 42
_symmetry_space_group_name_Hall 'F 2 -2'
loop_
_atom_site_label
_atom_site_fract_x
_atom_site_fract_y
_atom_site_fract_z
In1 0.000 0.000 0.000
Sb1 0.000 0.000 0.656
Br1 0.000 0.000 0.356
```

Results
The size of the total moment is 0.000 μB per atom. For the density of states at the Fermi level, the calculation gives 4.35 states/eV per cell. The formation energy without anion corrections comes out at -0.068 eV per atom.

InSb3Br: PBEsol geometry, SCAN.

Geometry as CIF:
```
data_InSb3Br
_chemical_formula_sum 'In1 Sb3 Br1'
_cell_length_a 5.508
_cell_length_b 5.508
_cell_length_c 5.508
_cell_angle_alpha 90.00
_cell_angle_beta 90.00
_cell_angle_gamma 90.00
_symmetry_space_group_name_H-M 'P m -3 m'
_symmetry_Int_Tables_number 221
_symmetry_space_group_name_Hall '-P 4 2 3'
loop_
_atom_site_label
_atom_site_fract_x
_atom_site_fract_y
_atom_site_fract_z
In1 0.000 0.000 0.000
Sb1 0.000 0.500 0.500
Br1 0.500 0.500 0.500
```

Results
The size of the total moment is 0.000 μB per atom. For the density of states at the Fermi level, the calculation gives 6.82 states/eV per cell. The formation energy without anion corrections comes out at 0.952 eV per atom.

In2Sb2Br: PBEsol geometry, SCAN.

Geometry as CIF:
```
data_In2Sb2Br
_chemical_formula_sum 'In4 Sb4 Br2'
_cell_length_a 5.470
_cell_length_b 5.470
_cell_length_c 9.738
_cell_angle_alpha 90.00
_cell_angle_beta 90.00
_cell_angle_gamma 90.00
_symmetry_space_group_name_H-M 'I 4/m m m'
_symmetry_Int_Tables_number 139
_symmetry_space_group_name_Hall '-I 4 2'
loop_
_atom_site_label
_atom_site_fract_x
_atom_site_fract_y
_atom_site_fract_z
In1 0.000 0.500 0.250
Sb1 0.000 0.000 0.143
Br1 0.000 0.000 0.500
```

Results
The size of the total moment is 0.000 μB per atom. For the density of states at the Fermi level, the calculation gives 1.54 states/eV per cell. The formation energy without anion corrections comes out at -0.241 eV per atom.

InSb2Br: PBEsol geometry, SCAN.

Geometry as CIF:
```
data_InSb2Br
_chemical_formula_sum 'In4 Sb8 Br4'
_cell_length_a 7.455
_cell_length_b 7.455
_cell_length_c 7.455
_cell_angle_alpha 90.00
_cell_angle_beta 90.00
_cell_angle_gamma 90.00
_symmetry_space_group_name_H-M 'F -4 3 m'
_symmetry_Int_Tables_number 216
_symmetry_space_group_name_Hall 'F -4 2 3'
loop_
_atom_site_label
_atom_site_fract_x
_atom_site_fract_y
_atom_site_fract_z
In1 0.000 0.000 0.000
Sb1 0.000 0.000 0.500
Sb2 0.250 0.250 0.750
Br1 0.250 0.250 0.250
```

Results
Its relative energy among the computed polymorphs is 0.000 eV per atom. The size of the total moment is 0.000 μB per atom. For the density of states at the Fermi level, the calculation gives 5.90 states/eV per cell. The formation energy without anion corrections comes out at 0.019 eV per atom.

ScIn2Br: PBEsol geometry, SCAN.

Geometry as CIF:
```
data_ScIn2Br
_chemical_formula_sum 'Sc2 In4 Br2'
_cell_length_a 3.275
_cell_length_b 5.597
_cell_length_c 10.627
_cell_angle_alpha 90.00
_cell_angle_beta 90.00
_cell_angle_gamma 90.00
_symmetry_space_group_name_H-M 'I m m 2'
_symmetry_Int_Tables_number 44
loop_
_symmetry_equiv_pos_as_xyz
'x,y,z'
'-x,-y,z'
'-x,y,z'
'x,-y,z'
'x+1/2,y+1/2,z+1/2'
'-x+1/2,-y+1/2,z+1/2'
'-x+1/2,y+1/2,z+1/2'
'x+1/2,-y+1/2,z+1/2'
loop_
_atom_site_label
_atom_site_fract_x
_atom_site_fract_y
_atom_site_fract_z
Sc1 0.000 0.000 0.000
In1 0.000 0.000 0.487
In2 0.000 0.500 0.257
Br1 0.000 0.500 0.695
```

Results
Its relative energy among the computed polymorphs is 0.000 eV per atom. The size of the total moment is 0.000 μB per atom. For the density of states at the Fermi level, the calculation gives 3.22 states/eV per cell. The formation energy without anion corrections comes out at -0.509 eV per atom.

ScInBr: PBEsol geometry, SCAN.

Geometry as CIF:
```
data_ScInBr
_chemical_formula_sum 'Sc2 In2 Br2'
_cell_length_a 3.292
_cell_length_b 3.292
_cell_length_c 13.726
_cell_angle_alpha 90.00
_cell_angle_beta 90.00
_cell_angle_gamma 90.00
_symmetry_space_group_name_H-M 'I 4 m m'
_symmetry_Int_Tables_number 107
_symmetry_space_group_name_Hall 'I 4 -2'
loop_
_atom_site_label
_atom_site_fract_x
_atom_site_fract_y
_atom_site_fract_z
Sc1 0.000 0.000 0.000
In1 0.000 0.000 0.352
Br1 0.000 0.000 0.614
```

Results
The size of the total moment is 0.140 μB per atom. For the density of states at the Fermi level, the calculation gives 4.80 states/eV per cell. The formation energy without anion corrections comes out at -0.711 eV per atom.

ScIn2Br: PBEsol geometry, SCAN.

Geometry as CIF:
```
data_ScIn2Br
_chemical_formula_sum 'Sc2 In4 Br2'
_cell_length_a 3.197
_cell_length_b 4.555
_cell_length_c 13.731
_cell_angle_alpha 90.00
_cell_angle_beta 90.00
_cell_angle_gamma 90.00
_symmetry_space_group_name_H-M 'I m m m'
_symmetry_Int_Tables_number 71
_symmetry_space_group_name_Hall '-I 2 2'
loop_
_atom_site_label
_atom_site_fract_x
_atom_site_fract_y
_atom_site_fract_z
Sc1 0.000 0.000 0.000
In1 0.000 0.500 0.302
Br1 0.000 0.000 0.500
```

Results
Its relative energy among the computed polymorphs is 0.018 eV per atom. The size of the total moment is 0.072 μB per atom. For the density of states at the Fermi level, the calculation gives 4.59 states/eV per cell. The formation energy without anion corrections comes out at -0.491 eV per atom.

ScInBr3: PBEsol geometry, SCAN.

Geometry as CIF:
```
data_ScInBr3
_chemical_formula_sum 'Sc1 In1 Br3'
_cell_length_a 5.523
_cell_length_b 5.523
_cell_length_c 5.523
_cell_angle_alpha 90.00
_cell_angle_beta 90.00
_cell_angle_gamma 90.00
_symmetry_space_group_name_H-M 'P m -3 m'
_symmetry_Int_Tables_number 221
_symmetry_space_group_name_Hall '-P 4 2 3'
loop_
_atom_site_label
_atom_site_fract_x
_atom_site_fract_y
_atom_site_fract_z
Sc1 0.000 0.000 0.000
In1 0.500 0.500 0.500
Br1 0.000 0.500 0.500
```

Results
The size of the total moment is 0.347 μB per atom. For the density of states at the Fermi level, the calculation gives 7.45 states/eV per cell. The formation energy without anion corrections comes out at -0.317 eV per atom.

InSeBr: PBEsol geometry, SCAN.

Geometry as CIF:
```
data_InSeBr
_chemical_formula_sum 'In4 Se4 Br4'
_cell_length_a 6.826
_cell_length_b 6.826
_cell_length_c 6.826
_cell_angle_alpha 90.00
_cell_angle_beta 90.00
_cell_angle_gamma 90.00
_symmetry_space_group_name_H-M 'F -4 3 m'
_symmetry_Int_Tables_number 216
_symmetry_space_group_name_Hall 'F -4 2 3'
loop_
_atom_site_label
_atom_site_fract_x
_atom_site_fract_y
_atom_site_fract_z
In1 0.000 0.000 0.000
Se1 0.250 0.250 0.250
Br1 0.250 0.250 0.750
```

Results
The size of the total moment is 0.000 μB per atom. For the density of states at the Fermi level, the calculation gives 3.51 states/eV per cell. The formation energy without anion corrections comes out at -0.264 eV per atom.

InSe2Br: PBEsol geometry, SCAN.

Geometry as CIF:
```
data_InSe2Br
_chemical_formula_sum 'In2 Se4 Br2'
_cell_length_a 12.379
_cell_length_b 3.749
_cell_length_c 4.840
_cell_angle_alpha 90.00
_cell_angle_beta 100.20
_cell_angle_gamma 90.00
_symmetry_space_group_name_H-M 'C 1 2/m 1'
_symmetry_Int_Tables_number 12
loop_
_symmetry_equiv_pos_as_xyz
'x,y,z'
'-x,-y,-z'
'-x,y,-z'
'x,-y,z'
'x+1/2,y+1/2,z'
'-x+1/2,-y+1/2,-z'
'-x+1/2,y+1/2,-z'
'x+1/2,-y+1/2,z'
loop_
_atom_site_label
_atom_site_fract_x
_atom_site_fract_y
_atom_site_fract_z
In1 0.000 0.000 0.000
Se1 0.218 0.500 0.125
Br1 0.000 0.500 0.500
```

Results
Its relative energy among the computed polymorphs is 0.363 eV per atom. The size of the total moment is 0.000 μB per atom. For the density of states at the Fermi level, the calculation gives 1.32 states/eV per cell. The formation energy without anion corrections comes out at -0.143 eV per atom.

In5Se5Br: PBEsol geometry, SCAN.

Geometry as CIF:
```
data_In5Se5Br
_chemical_formula_sum 'In10 Se10 Br2'
_cell_length_a 4.093
_cell_length_b 9.260
_cell_length_c 15.194
_cell_angle_alpha 90.00
_cell_angle_beta 90.00
_cell_angle_gamma 90.00
_symmetry_space_group_name_H-M 'P m n 21'
_symmetry_Int_Tables_number 31
loop_
_symmetry_equiv_pos_as_xyz
'x,y,z'
'-x+1/2,-y,z+1/2'
'-x,y,z'
'x+1/2,-y,z+1/2'
loop_
_atom_site_label
_atom_site_fract_x
_atom_site_fract_y
_atom_site_fract_z
In1 0.000 0.020 0.000
In2 0.000 0.307 0.048
In3 0.000 0.395 0.654
In4 0.000 0.643 0.857
In5 0.000 0.897 0.272
Se1 0.000 0.083 0.406
Se2 0.000 0.275 0.820
Se3 0.000 0.424 0.208
Se4 0.000 0.529 0.494
Se5 0.000 0.792 0.107
Br1 0.000 0.906 0.703
```

Results
The size of the total moment is 0.000 μB per atom. The formation energy without anion corrections comes out at -0.615 eV per atom.

InSeBr2: PBEsol geometry, SCAN.

Geometry as CIF:
```
data_InSeBr2
_chemical_formula_sum 'In4 Se4 Br8'
_cell_length_a 7.352
_cell_length_b 7.352
_cell_length_c 7.352
_cell_angle_alpha 90.00
_cell_angle_beta 90.00
_cell_angle_gamma 90.00
_symmetry_space_group_name_H-M 'F m -3 m'
_symmetry_Int_Tables_number 225
_symmetry_space_group_name_Hall '-F 4 2 3'
loop_
_atom_site_label
_atom_site_fract_x
_atom_site_fract_y
_atom_site_fract_z
In1 0.000 0.000 0.000
Se1 0.000 0.000 0.500
Br1 0.250 0.250 0.250
```

Results
Its relative energy among the computed polymorphs is 0.477 eV per atom. The size of the total moment is 0.602 μB per atom. For the density of states at the Fermi level, the calculation gives 8.88 states/eV per cell. The formation energy without anion corrections comes out at 0.135 eV per atom.